[1]
Compound: Ac12La5Ho2
Source: Alexandria
Functional: GGA-PBE
Structure: relaxed

a = 11.5003 Å, b = 11.5003 Å, c = 6.7274 Å
α = 101.01°, β = 101.01°, γ = 66.55°
Element x y z (fractional)
Ac: 0.0456 0.5639 0.7968
Ac: 0.0582 0.0582 0.2726
Ac: 0.1475 0.6501 0.3707
Ac: 0.3499 0.8525 0.6293
Ac: 0.3906 0.3906 0.9919
Ac: 0.4361 0.9544 0.2032
Ac: 0.5639 0.0456 0.7968
Ac: 0.6094 0.6094 0.0081
Ac: 0.6501 0.1475 0.3707
Ac: 0.8525 0.3499 0.6293
Ac: 0.9418 0.9418 0.7274
Ac: 0.9544 0.4361 0.2032
La: 0.1850 0.1850 0.8576
La: 0.2882 0.2882 0.4386
La: 0.5000 0.5000 0.5000
La: 0.7118 0.7118 0.5614
La: 0.8150 0.8150 0.1424
Ho: 0.2611 0.7389 0.0000
Ho: 0.7389 0.2611 0.0000

## Properties
- energy relative to the lowest polymorph listed for this composition (eV per formula unit) = 0.000
- space group = C2/m (12)

[2]
Compound: Ac2LaHo
Source: Alexandria
Functional: GGA-PBE
Structure: relaxed

a = 3.8611 Å, b = 3.8611 Å, c = 10.5128 Å
α = 90.00°, β = 90.00°, γ = 90.00°
Element x y z (fractional)
Ac: 0.0000 0.0000 0.2417
Ac: 0.0000 0.0000 0.7583
La: 0.5000 0.5000 0.5000
Ho: 0.5000 0.5000 0.0000

## Properties
- energy relative to the lowest polymorph listed for this composition (eV per formula unit) = 0.050
- space group = P4/mmm (123)

[3]
Compound: Ac4LaHo
Source: Alexandria
Functional: GGA-PBE
Structure: relaxed

a = 7.1727 Å, b = 7.1727 Å, c = 7.1727 Å
α = 60.00°, β = 60.00°, γ = 60.00°
Element x y z (fractional)
Ac: 0.1242 0.1242 0.1242
Ac: 0.1242 0.1242 0.6274
Ac: 0.1242 0.6274 0.1242
Ac: 0.6274 0.1242 0.1242
La: 0.5000 0.5000 0.5000
Ho: 0.7500 0.7500 0.7500

## Properties
- energy relative to the lowest polymorph listed for this composition (eV per formula unit) = 1.189
- space group = F-43m (216)

[4]
Compound: AcLa3Ho
Source: Alexandria
Functional: GGA-PBE
Structure: relaxed

a = 5.6246 Å, b = 5.6246 Å, c = 13.4352 Å
α = 90.00°, β = 90.00°, γ = 113.38°
Element x y z (fractional)
Ac: 0.0000 0.0000 0.0000
Ac: 0.0000 0.0000 0.5000
La: 0.0629 0.9371 0.7500
La: 0.3776 0.6224 0.6196
La: 0.3776 0.6224 0.8804
La: 0.6224 0.3776 0.1196
La: 0.6224 0.3776 0.3804
La: 0.9371 0.0629 0.2500
Ho: 0.2794 0.7206 0.2500
Ho: 0.7206 0.2794 0.7500

## Properties
- energy relative to the lowest polymorph listed for this composition (eV per formula unit) = 0.922
- space group = Cmcm (63)

[5]
Compound: Ac9LaHo2
Source: Alexandria
Functional: GGA-PBE
Structure: relaxed

a = 5.5014 Å, b = 5.5014 Å, c = 16.5703 Å
α = 90.00°, β = 90.00°, γ = 90.00°
Element x y z (fractional)
Ac: 0.0000 0.0000 0.0000
Ac: 0.0000 0.0000 0.3353
Ac: 0.0000 0.0000 0.6647
Ac: 0.0000 0.5000 0.1699
Ac: 0.0000 0.5000 0.5000
Ac: 0.0000 0.5000 0.8301
Ac: 0.5000 0.0000 0.1699
Ac: 0.5000 0.0000 0.5000
Ac: 0.5000 0.0000 0.8301
La: 0.5000 0.5000 0.0000
Ho: 0.5000 0.5000 0.3347
Ho: 0.5000 0.5000 0.6653

## Properties
- space group = P4/mmm (123)

[6]
Compound: AcLa12Ho3
Source: Alexandria
Functional: GGA-PBE
Structure: relaxed

a = 5.2414 Å, b = 5.2414 Å, c = 21.0078 Å
α = 90.00°, β = 90.00°, γ = 90.00°
Element x y z (fractional)
Ac: 0.0000 0.0000 0.0000
La: 0.0000 0.5000 0.1309
La: 0.0000 0.5000 0.3772
La: 0.0000 0.5000 0.6228
La: 0.0000 0.5000 0.8691
La: 0.5000 0.0000 0.1309
La: 0.5000 0.0000 0.3772
La: 0.5000 0.0000 0.6228
La: 0.5000 0.0000 0.8691
La: 0.5000 0.5000 0.0000
La: 0.5000 0.5000 0.2549
La: 0.5000 0.5000 0.5000
La: 0.5000 0.5000 0.7451
Ho: 0.0000 0.0000 0.2540
Ho: 0.0000 0.0000 0.5000
Ho: 0.0000 0.0000 0.7460

## Properties
- space group = P4/mmm (123)

[7]
Compound: AcLaHo2
Source: Alexandria
Functional: GGA-PBE
Structure: relaxed

a = 12.1116 Å, b = 12.1116 Å, c = 12.1116 Å
α = 17.68°, β = 17.68°, γ = 17.68°
Element x y z (fractional)
Ac: 0.0000 0.0000 0.0000
La: 0.1660 0.1660 0.1660
Ho: 0.5802 0.5802 0.5802
Ho: 0.7519 0.7519 0.7519

## Properties
- energy relative to the lowest polymorph listed for this composition (eV per formula unit) = 0.089
- space group = R3m (160)

[8]
Compound: AcLa8Ho6
Source: Alexandria
Functional: GGA-PBE
Structure: relaxed

a = 9.5287 Å, b = 9.5287 Å, c = 6.7417 Å
α = 90.00°, β = 90.00°, γ = 120.00°
Element x y z (fractional)
Ac: 0.0000 0.0000 0.0000
La: 0.0415 0.3012 0.3431
La: 0.2597 0.9585 0.3431
La: 0.3012 0.2597 0.6569
La: 0.3333 0.6667 0.3843
La: 0.6667 0.3333 0.6157
La: 0.6988 0.7403 0.3431
La: 0.7403 0.0415 0.6569
La: 0.9585 0.6988 0.6569
Ho: 0.0986 0.4381 0.8518
Ho: 0.3395 0.9014 0.8518
Ho: 0.4381 0.3395 0.1482
Ho: 0.5619 0.6605 0.8518
Ho: 0.6605 0.0986 0.1482
Ho: 0.9014 0.5619 0.1482

## Properties
- space group = P-3 (147)

One value per record, in order, for Fermi-level density of states: 1.58; 1.86; 1.50; 1.22; 1.62; 1.59; 1.54; 1.61 states/eV/atom.
One value per record, in order, for ΔE_f: 2.01; 0.17; 1.99; 1.18; 0.39; 0.22; 0.25; 2.66 eV per formula unit.